Entry 1:
# BiPbCl5

An optimized crystal structure of BiPbCl5 (GGA-PBE, Alexandria).

Output
Raw total energy in eV per atom: -3.4202
Total moment in μB per atom: 0.00
Raw formation energy in meV/atom: -1017

Lattice parameters (Å, degrees): 6.873 13.411 10.759 90.00 100.66 90.00
Space group P2_1/c (No. 14)
Inequivalent atoms, fractional coordinates:
1 Bi 0.049 0.009 0.205 x4
2 Pb 0.416 0.233 0.639 x4
3 Cl 0.056 0.109 0.622 x4
4 Cl 0.151 0.105 0.987 x4
5 Cl 0.246 0.637 0.304 x4
6 Cl 0.301 0.157 0.334 x4
7 Cl 0.388 0.601 0.691 x4

=====

Entry 2:
# Tb12Tl5Te2

An optimized crystal structure of Tb12Tl5Te2 (GGA-PBE, Alexandria).

Output
Raw total energy in eV per atom: -4.2069
Total moment in μB per atom: 0.00
Raw formation energy in meV/atom: -329

Lattice parameters (Å, degrees): 16.612 8.404 8.752 90.00 105.35 90.00
Space group C2/m (No. 12)
Inequivalent atoms, fractional coordinates:
1 Tb 0.012 0.000 0.294 x4
2 Tb 0.112 0.500 0.342 x4
3 Tb 0.118 0.202 0.045 x8
4 Tb 0.184 0.218 0.687 x8
5 Tl 0.000 0.500 0.000 x2
6 Tl 0.206 0.000 0.394 x4
7 Tl 0.215 0.500 0.991 x4
8 Te 0.000 0.287 0.500 x4

=====

Entry 3:
# Tb2PmY3Ho6

An optimized crystal structure of Tb2PmY3Ho6 (GGA-PBE, Alexandria).

Output
Formation energy in meV per atom: 19
Raw total energy in eV per atom: -5.0530
Total moment in μB per atom: 0.00

Lattice parameters (Å, degrees): 6.156 10.651 11.770 90.00 99.99 90.00
Space group C2/m (No. 12)
Inequivalent atoms, fractional coordinates:
1 Tb 0.000 0.167 0.000 x4
2 Pm 0.000 0.500 0.000 x2
3 Y 0.000 0.000 0.500 x2
4 Y 0.000 0.333 0.500 x4
5 Ho 0.249 0.167 0.750 x8
6 Ho 0.249 0.500 0.750 x4

=====

Entry 4:
# Ce2LuFe

An optimized crystal structure of Ce2LuFe (GGA-PBE, Alexandria).

Output
Formation energy in meV per atom: 108
Offset from the most stable computed form in meV/atom: 0
Raw total energy in eV per atom: -6.1052
Total moment in μB per atom: 0.00

Lattice parameters (Å, degrees): 3.6391 3.6391 26.2570 90.00 90.00 120.00
Space group R-3m (No. 166, hexagonal axes)
Inequivalent atoms, fractional coordinates:
1 Ce 0.0000 0.0000 0.2265 x6
2 Lu 0.0000 0.0000 0.0000 x3
3 Fe 0.0000 0.0000 0.5000 x3

=====

Entry 5:
# PrScCdNi

An optimized crystal structure of PrScCdNi (GGA-PBE, Alexandria).

Output
Formation energy in meV per atom: -166
Raw total energy in eV per atom: -4.6178
Total moment in μB per atom: 0.00

Lattice parameters (Å, degrees): 7.124 7.124 7.124 90.00 90.00 90.00
Space group F-43m (No. 216)
Inequivalent atoms, fractional coordinates:
1 Pr 0.000 0.000 0.000 x4
2 Sc 0.000 0.000 0.500 x4
3 Cd 0.250 0.250 0.250 x4
4 Ni 0.250 0.250 0.750 x4

=====

Entry 6:
# CeNd3S4

An optimized crystal structure of CeNd3S4 (GGA-PBE, Alexandria).

Output
Raw total energy in eV per atom: -6.6282
Total moment in μB per atom: 0.10
Raw formation energy in meV/atom: -2035

Lattice parameters (Å, degrees): 8.135 11.480 4.049 90.00 90.00 90.00
Space group Cmmm (No. 65)
Inequivalent atoms, fractional coordinates:
1 Ce 0.000 0.000 0.000 x2
2 Nd 0.000 0.500 0.000 x2
3 Nd 0.250 0.250 0.500 x4
4 S 0.000 0.249 0.000 x4
5 S 0.247 0.000 0.500 x4

=====

Entry 7:
# Li2MnPd4

An optimized crystal structure of Li2MnPd4 (GGA-PBE, Alexandria).

Output
Formation energy in meV per atom: -209
Offset from the most stable computed form in meV/atom: 0
Raw total energy in eV per atom: -5.0334
Total moment in μB per atom: 0.67

Lattice parameters (Å, degrees): 4.2535 4.2535 19.7122 90.00 90.00 120.00
Space group R-3m (No. 166, hexagonal axes)
Inequivalent atoms, fractional coordinates:
1 Li 0.0000 0.0000 0.2449 x6
2 Mn 0.0000 0.0000 0.5000 x3
3 Pd 0.0000 0.0000 0.1143 x6
4 Pd 0.0000 0.0000 0.3693 x6

=====

Entry 8:
# Tb4PmNd2Y2

An optimized crystal structure of Tb4PmNd2Y2 (GGA-PBE, Alexandria).

Output
Formation energy in meV per atom: -4
Raw total energy in eV per atom: -5.0855
Total moment in μB per atom: 0.00

Lattice parameters (Å, degrees): 18.852 3.633 9.649 90.00 115.72 90.00
Space group C2/m (No. 12)
Inequivalent atoms, fractional coordinates:
1 Tb 0.019 0.000 0.335 x4
2 Tb 0.186 0.500 0.336 x4
3 Pm 0.000 0.500 0.000 x2
4 Nd 0.166 0.000 0.001 x4
5 Y 0.147 0.500 0.663 x4

=====

Entry 9:
# TmCdPb

An optimized crystal structure of TmCdPb (GGA-PBE, Alexandria).

Output
Formation energy in meV per atom: 102
Raw total energy in eV per atom: -2.9299
Total moment in μB per atom: 0.08

Lattice parameters (Å, degrees): 3.328 3.328 16.759 90.00 90.00 90.00
Space group I4mm (No. 107)
Inequivalent atoms, fractional coordinates:
1 Tm 0.000 0.000 0.000 x2
2 Cd 0.000 0.000 0.820 x2
3 Pb 0.000 0.000 0.640 x2

=====

Entry 10:
# NbHg

An optimized crystal structure of NbHg (GGA-PBE, Alexandria).

Output
Formation energy in meV per atom: 509
Raw total energy in eV per atom: -4.6765
Total moment in μB per atom: 0.00

Lattice parameters (Å, degrees): 10.622 10.622 2.955 90.00 90.00 90.00
Space group I4/m (No. 87)
Inequivalent atoms, fractional coordinates:
1 Nb 0.102 0.152 0.000 x8
2 Hg 0.075 0.668 0.500 x8

=====

Entry 11:
# Ca2Al2SnPt5

An optimized crystal structure of Ca2Al2SnPt5 (GGA-PBE, Alexandria).

Output
Formation energy in meV per atom: -877
Raw total energy in eV per atom: -5.4469
Total moment in μB per atom: 0.00

Lattice parameters (Å, degrees): 9.951 9.951 3.704 90.00 90.00 90.00
Space group P4/mbm (No. 127)
Inequivalent atoms, fractional coordinates:
1 Ca 0.177 0.323 0.000 x4
2 Al 0.120 0.620 0.000 x4
3 Sn 0.000 0.000 0.000 x2
4 Pt 0.000 0.500 0.500 x2
5 Pt 0.067 0.788 0.500 x8

=====

Entry 12:
# IrRuCl2

An optimized crystal structure of IrRuCl2 (GGA-PBE, Alexandria).

Output
Offset from the most stable computed form in meV/atom: 405
Raw total energy in eV per atom: -5.0069
Total moment in μB per atom: 0.00
Raw formation energy in meV/atom: 451

Lattice parameters (Å, degrees): 2.821 5.328 9.801 90.00 90.00 90.00
Space group Cmm2 (No. 35)
Inequivalent atoms, fractional coordinates:
1 Ir 0.000 0.000 0.000 x2
2 Ru 0.000 0.500 0.228 x2
3 Cl 0.000 0.000 0.423 x2
4 Cl 0.000 0.500 0.794 x2

=====

Entry 13:
# Er12Sc5Tl2

An optimized crystal structure of Er12Sc5Tl2 (GGA-PBE, Alexandria).

Output
Formation energy in meV per atom: 50
Raw total energy in eV per atom: -4.7466
Total moment in μB per atom: 0.00

Lattice parameters (Å, degrees): 14.806 9.068 8.130 90.00 90.84 90.00
Space group C2/m (No. 12)
Inequivalent atoms, fractional coordinates:
1 Er 0.055 0.000 0.322 x4
2 Er 0.092 0.500 0.884 x4
3 Er 0.124 0.201 0.650 x8
4 Er 0.154 0.314 0.238 x8
5 Sc 0.000 0.500 0.500 x2
6 Sc 0.186 0.000 0.003 x4
7 Sc 0.236 0.500 0.582 x4
8 Tl 0.000 0.185 0.000 x4

=====

Entry 14:
# Tm2AlTl

An optimized crystal structure of Tm2AlTl (GGA-PBE, Alexandria).

Output
Formation energy in meV per atom: -211
Raw total energy in eV per atom: -3.9735
Total moment in μB per atom: 0.00

Lattice parameters (Å, degrees): 3.5886 3.5886 28.2409 90.00 90.00 120.00
Space group R-3m (No. 166, hexagonal axes)
Inequivalent atoms, fractional coordinates:
1 Tm 0.0000 0.0000 0.2452 x6
2 Al 0.0000 0.0000 0.5000 x3
3 Tl 0.0000 0.0000 0.0000 x3

=====

Entry 15:
# Ca3Zn8Pd

An optimized crystal structure of Ca3Zn8Pd (GGA-PBE, Alexandria).

Output
Formation energy in meV per atom: -268
Raw total energy in eV per atom: -2.0508
Total moment in μB per atom: 0.00

Lattice parameters (Å, degrees): 5.3134 5.3134 27.4319 90.00 90.00 120.00
Space group R3m (No. 160, hexagonal axes)
Inequivalent atoms, fractional coordinates:
1 Ca 0.0000 0.0000 0.0000 x3
2 Ca 0.0000 0.0000 0.1280 x3
3 Ca 0.0000 0.0000 0.6156 x3
4 Zn 0.0000 0.0000 0.3084 x3
5 Zn 0.0000 0.0000 0.8116 x3
6 Zn 0.0015 0.5007 0.5576 x9
7 Zn 0.0020 0.5010 0.0629 x9
8 Pd 0.0000 0.0000 0.5078 x3

=====

Entry 16:
# MgP2Ru

An optimized crystal structure of MgP2Ru (GGA-PBE, Alexandria).

Output
Formation energy in meV per atom: -116
Raw total energy in eV per atom: -5.5384
Total moment in μB per atom: 0.00

Lattice parameters (Å, degrees): 3.115 3.115 6.164 90.00 90.00 90.00
Space group P4mm (No. 99)
Inequivalent atoms, fractional coordinates:
1 Mg 0.000 0.000 0.000 x1
2 P 0.000 0.000 0.516 x1
3 P 0.500 0.500 0.264 x1
4 Ru 0.500 0.500 0.676 x1

=====

Entry 17:
# ThMoI

An optimized crystal structure of ThMoI (GGA-PBE, Alexandria).

Output
Raw total energy in eV per atom: -7.0865
Total moment in μB per atom: 0.00
Raw formation energy in meV/atom: -486

Lattice parameters (Å, degrees): 7.385 4.262 12.913 90.00 101.07 90.00
Space group C2/m (No. 12)
Inequivalent atoms, fractional coordinates:
1 Th 0.055 0.000 0.165 x4
2 Mo 0.159 0.500 0.976 x4
3 I 0.218 0.000 0.657 x4

=====

Entry 18:
# HoCo6Sn6

An optimized crystal structure of HoCo6Sn6 (GGA-PBE, Alexandria).

Output
Formation energy in meV per atom: -160
Raw total energy in eV per atom: -5.6389
Total moment in μB per atom: 0.00

Lattice parameters (Å, degrees): 5.382 8.574 9.300 90.00 90.00 90.00
Space group Immm (No. 71)
Inequivalent atoms, fractional coordinates:
1 Ho 0.000 0.000 0.000 x2
2 Co 0.000 0.252 0.500 x4
3 Co 0.250 0.250 0.250 x8
4 Sn 0.000 0.000 0.336 x4
5 Sn 0.000 0.335 0.000 x4
6 Sn 0.000 0.500 0.331 x4

=====

Entry 19:
# EuGdCdPb

An optimized crystal structure of EuGdCdPb (GGA-PBE, Alexandria).

Output
Formation energy in meV per atom: -446
Raw total energy in eV per atom: -7.6911
Total moment in μB per atom: 3.69

Lattice parameters (Å, degrees): 7.770 7.770 7.770 90.00 90.00 90.00
Space group F-43m (No. 216)
Inequivalent atoms, fractional coordinates:
1 Eu 0.000 0.000 0.000 x4
2 Gd 0.000 0.000 0.500 x4
3 Cd 0.250 0.250 0.250 x4
4 Pb 0.250 0.250 0.750 x4

=====

Entry 20:
# ZnCuRe2

An optimized crystal structure of ZnCuRe2 (GGA-PBE, Alexandria).

Output
Formation energy in meV per atom: 288
Offset from the most stable computed form in meV/atom: 229
Raw total energy in eV per atom: -7.2790
Total moment in μB per atom: 0.00

Lattice parameters (Å, degrees): 9.101 2.742 4.648 90.00 100.88 90.00
Space group C2/m (No. 12)
Inequivalent atoms, fractional coordinates:
1 Zn 0.000 0.000 0.000 x2
2 Cu 0.000 0.500 0.500 x2
3 Re 0.248 0.000 0.747 x4

=====

Entry 21:
# Sn12PbAu7

An optimized crystal structure of Sn12PbAu7 (GGA-PBE, Alexandria).

Output
Formation energy in meV per atom: -76
Raw total energy in eV per atom: -3.8104
Total moment in μB per atom: 0.00

Lattice parameters (Å, degrees): 15.1872 15.1872 7.5595 90.00 90.00 120.00
Space group R-3 (No. 148, hexagonal axes)
Inequivalent atoms, fractional coordinates:
1 Sn 0.0430 0.2726 0.4802 x18
2 Sn 0.0694 0.8481 0.8682 x18
3 Pb 0.0000 0.0000 0.5000 x3
4 Au 0.0000 0.0000 0.0000 x3
5 Au 0.0565 0.8717 0.2447 x18

=====

Entry 22:
# MgBi3S

An optimized crystal structure of MgBi3S (GGA-PBE, Alexandria).

Output
Offset from the most stable computed form in meV/atom: 0
Raw total energy in eV per atom: -3.1175
Total moment in μB per atom: 0.00
Raw formation energy in meV/atom: 355

Lattice parameters (Å, degrees): 5.426 5.426 5.426 90.00 90.00 90.00
Space group Pm-3m (No. 221)
Inequivalent atoms, fractional coordinates:
1 Mg 0.000 0.000 0.000 x1
2 Bi 0.000 0.500 0.500 x3
3 S 0.500 0.500 0.500 x1